# 1
Here is a relaxed structure of Sb3SeN from Alexandria via LeMat-Bulk. Energies are from PBE-GGA.

Lattice parameters (Å, degrees): 5.3639 5.3639 5.3639 90.00 90.00 90.00
With the nearest neighbours (Å) after each atom.
Space group Pm-3m (No. 221)
Inequivalent atoms, fractional coordinates:
Sb 0.0000 0.0000 0.5000  2 Se 2.68
Se 0.0000 0.0000 0.0000  6 Sb 2.68
N 0.5000 0.5000 0.5000  12 Sb 3.79

Values from the calculation:
Energy relative to the elements, uncorrected (meV/atom): 1878

# 2
Here is a relaxed structure of CsPaS4 from Alexandria via LeMat-Bulk. Energies are from PBE-GGA.

Lattice parameters (Å, degrees): 14.9742 7.5435 7.4408 90.00 96.21 90.00
With the nearest neighbours (Å) after each atom.
Space group C2/m (No. 12)
Inequivalent atoms, fractional coordinates:
Cs 0.2020 0.0000 0.1902  10 S 3.75-4.20
Pa 0.0416 0.5000 0.2632  5 S 2.47-2.73
S 0.0000 0.2725 0.0000  2 Pa 2.63
S 0.0691 0.2595 0.5384  1 S 2.09
S 0.2062 0.5000 0.2590  1 Pa 2.47

Values from the calculation:
Energy relative to the elements, uncorrected (meV/atom): -1251

# 3
Here is a relaxed structure of Ba2SeN from Alexandria via LeMat-Bulk. Energies are from PBE-GGA.

Lattice parameters (Å, degrees): 7.7409 7.7409 8.7106 90.00 90.00 90.00
With the nearest neighbours (Å) after each atom.
Space group I-42d (No. 122)
Inequivalent atoms, fractional coordinates:
Ba 0.1918 0.2500 0.1250  2 N 2.67
Se 0.0000 0.0000 0.5000  4 Ba 3.26
N 0.0000 0.0000 0.0000  4 Ba 2.67

Values from the calculation:
Energy relative to the elements, uncorrected (meV/atom): -839

# 4
Here is a relaxed structure of MgCo2N from Alexandria via LeMat-Bulk. Energies are from PBE-GGA.

Lattice parameters (Å, degrees): 6.1975 6.1975 4.9987 90.00 90.00 90.00
With the nearest neighbours (Å) after each atom.
Space group I-42d (No. 122)
Inequivalent atoms, fractional coordinates:
Mg 0.0000 0.0000 0.0000  2 N 2.50, 4 Co 2.52
Co 0.1087 0.2500 0.6250  2 N 1.80
N 0.0000 0.0000 0.5000  4 Co 1.80

Values from the calculation:
Energy relative to the elements, uncorrected (meV/atom): -5